[1]
Material: NaTe2MoAuSe
Method: DFT, PBE
State: relaxed

Properties
M_tot ... 8.19 Bohr magnetons per cell
Final energy ... -4.37 eV/atom

Structure (CIF):
```
data_NaTe2MoAuSe
_cell_length_a 3.969
_cell_length_b 14.422
_cell_length_c 10.480
_cell_angle_alpha 90.00
_cell_angle_beta 90.00
_cell_angle_gamma 90.00
_space_group_name_H-M_alt 'C m c m'
_space_group_IT_number 63
_space_group_name_Hall '-C 2c 2'
loop_
_atom_site_label
_atom_site_fract_x
_atom_site_fract_y
_atom_site_fract_z
Na1 0.000 0.239 0.250
Te1 0.000 0.362 0.518
Mo1 0.000 0.000 0.000
Au1 0.000 0.439 0.750
Se1 0.000 0.065 0.750
```



[2]
Material: GdCoSi2Au
Method: DFT, PBE
State: relaxed

Properties
M_tot ... 2.37 Bohr magnetons per cell
Final energy ... -5.79 eV/atom

Structure (CIF):
```
data_GdCoSi2Au
_cell_length_a 4.068
_cell_length_b 4.068
_cell_length_c 10.160
_cell_angle_alpha 90.00
_cell_angle_beta 90.00
_cell_angle_gamma 90.00
_space_group_name_H-M_alt 'I -4 m 2'
_space_group_IT_number 119
_space_group_name_Hall 'I -4 -2'
loop_
_atom_site_label
_atom_site_fract_x
_atom_site_fract_y
_atom_site_fract_z
Gd1 0.000 0.000 0.000
Co1 0.000 0.500 0.250
Si1 0.000 0.000 0.384
Au1 0.000 0.500 0.750
```



[3]
Material: ScZnInFe
Method: DFT, PBE
State: relaxed

Properties
M_tot ... 7.53 Bohr magnetons per cell
E above lowest polymorph ... 0.114 eV per atom
Final energy ... -4.61 eV/atom

Structure (CIF):
```
data_ScZnInFe
_cell_length_a 6.532
_cell_length_b 6.532
_cell_length_c 6.532
_cell_angle_alpha 90.00
_cell_angle_beta 90.00
_cell_angle_gamma 90.00
_space_group_name_H-M_alt 'F -4 3 m'
_space_group_IT_number 216
_space_group_name_Hall 'F -4 2 3'
loop_
_atom_site_label
_atom_site_fract_x
_atom_site_fract_y
_atom_site_fract_z
Sc1 0.000 0.000 0.000
Zn1 0.000 0.000 0.500
In1 0.250 0.250 0.250
Fe1 0.250 0.250 0.750
```



[4]
Material: K3Cd2Pt4
Method: DFT, PBE
State: relaxed

Properties
M_tot ... 0.01 Bohr magnetons per cell
Final energy ... -3.48 eV/atom

Structure (CIF):
```
data_K3Cd2Pt4
_cell_length_a 12.124
_cell_length_b 4.629
_cell_length_c 8.987
_cell_angle_alpha 90.00
_cell_angle_beta 104.57
_cell_angle_gamma 90.00
_space_group_name_H-M_alt 'C 1 2/m 1'
_space_group_IT_number 12
_space_group_name_Hall '-C 2y'
loop_
_atom_site_label
_atom_site_fract_x
_atom_site_fract_y
_atom_site_fract_z
K1 0.000 0.000 0.000
K2 0.134 0.500 0.367
Cd1 0.162 0.500 0.765
Pt1 0.078 0.000 0.626
Pt2 0.232 0.000 0.922
```



[5]
Material: TaCoTcSn
Method: DFT, PBE
State: relaxed

Properties
M_tot ... 4.01 Bohr magnetons per cell
E above lowest polymorph ... 0.000 eV per atom
Final energy ... -8.46 eV/atom

Structure (CIF):
```
data_TaCoTcSn
_cell_length_a 6.314
_cell_length_b 6.314
_cell_length_c 6.314
_cell_angle_alpha 90.00
_cell_angle_beta 90.00
_cell_angle_gamma 90.00
_space_group_name_H-M_alt 'F -4 3 m'
_space_group_IT_number 216
_space_group_name_Hall 'F -4 2 3'
loop_
_atom_site_label
_atom_site_fract_x
_atom_site_fract_y
_atom_site_fract_z
Ta1 0.000 0.000 0.000
Co1 0.250 0.250 0.750
Tc1 0.250 0.250 0.250
Sn1 0.000 0.000 0.500
```



[6]
Material: Li2MgH6Pd
Method: DFT, PBE
State: relaxed

Properties
Final energy ... -3.20 eV/atom

Structure (CIF):
```
data_Li2MgH6Pd
_cell_length_a 7.195
_cell_length_b 7.195
_cell_length_c 7.195
_cell_angle_alpha 90.00
_cell_angle_beta 90.00
_cell_angle_gamma 90.00
_space_group_name_H-M_alt 'F m -3 m'
_space_group_IT_number 225
_space_group_name_Hall '-F 4 2 3'
loop_
_atom_site_label
_atom_site_fract_x
_atom_site_fract_y
_atom_site_fract_z
Li1 0.250 0.250 0.250
Mg1 0.000 0.000 0.000
H1 0.000 0.000 0.261
Pd1 0.000 0.000 0.500
```



[7]
Material: LuCuGeTe2S
Method: DFT, PBE
State: relaxed

Properties
M_tot ... 0.00 Bohr magnetons per cell
Final energy ... -4.50 eV/atom

Structure (CIF):
```
data_LuCuGeTe2S
_cell_length_a 4.024
_cell_length_b 14.585
_cell_length_c 9.889
_cell_angle_alpha 90.00
_cell_angle_beta 90.00
_cell_angle_gamma 90.00
_space_group_name_H-M_alt 'C m c m'
_space_group_IT_number 63
_space_group_name_Hall '-C 2c 2'
loop_
_atom_site_label
_atom_site_fract_x
_atom_site_fract_y
_atom_site_fract_z
Lu1 0.000 0.000 0.000
Cu1 0.000 0.481 0.250
Ge1 0.000 0.235 0.750
Te1 0.000 0.348 0.060
S1 0.000 0.064 0.250
```



[8]
Material: LiCuSn
Method: DFT, PBE
State: relaxed

Properties
Final energy ... -3.35 eV/atom

Structure (CIF):
```
data_LiCuSn
_cell_length_a 6.054
_cell_length_b 6.054
_cell_length_c 6.054
_cell_angle_alpha 90.00
_cell_angle_beta 90.00
_cell_angle_gamma 90.00
_space_group_name_H-M_alt 'F -4 3 m'
_space_group_IT_number 216
_space_group_name_Hall 'F -4 2 3'
loop_
_atom_site_label
_atom_site_fract_x
_atom_site_fract_y
_atom_site_fract_z
Li1 0.000 0.000 0.000
Cu1 0.250 0.250 0.250
Sn1 0.000 0.000 0.500
```



[9]
Material: NaLuBAu
Method: DFT, PBE
State: relaxed

Properties
M_tot ... 0.00 Bohr magnetons per cell
E above lowest polymorph ... 0.046 eV per atom
Final energy ... -3.70 eV/atom

Structure (CIF):
```
data_NaLuBAu
_cell_length_a 6.368
_cell_length_b 6.368
_cell_length_c 6.368
_cell_angle_alpha 90.00
_cell_angle_beta 90.00
_cell_angle_gamma 90.00
_space_group_name_H-M_alt 'F -4 3 m'
_space_group_IT_number 216
_space_group_name_Hall 'F -4 2 3'
loop_
_atom_site_label
_atom_site_fract_x
_atom_site_fract_y
_atom_site_fract_z
Na1 0.000 0.000 0.000
Lu1 0.250 0.250 0.250
B1 0.000 0.000 0.500
Au1 0.250 0.250 0.750
```



[10]
Material: CsFeTe3Pb
Method: DFT, PBE
State: relaxed

Properties
M_tot ... 19.89 Bohr magnetons per cell
E above lowest polymorph ... 0.000 eV per atom
Final energy ... -4.09 eV/atom

Structure (CIF):
```
data_CsFeTe3Pb
_cell_length_a 4.562
_cell_length_b 16.986
_cell_length_c 12.475
_cell_angle_alpha 90.00
_cell_angle_beta 90.00
_cell_angle_gamma 90.00
_space_group_name_H-M_alt 'C m c m'
_space_group_IT_number 63
_space_group_name_Hall '-C 2c 2'
loop_
_atom_site_label
_atom_site_fract_x
_atom_site_fract_y
_atom_site_fract_z
Cs1 0.000 0.239 0.250
Fe1 0.000 0.044 0.750
Te1 0.000 0.125 0.576
Te2 0.000 0.454 0.750
Pb1 0.000 0.500 0.000
```



[11]
Material: Lu2ScS3
Method: DFT, PBE
State: relaxed

Properties
M_tot ... 0.00 Bohr magnetons per cell
Final energy ... -6.50 eV/atom

Structure (CIF):
```
data_Lu2ScS3
_cell_length_a 3.7691
_cell_length_b 3.7691
_cell_length_c 9.2042
_cell_angle_alpha 90.00
_cell_angle_beta 90.00
_cell_angle_gamma 120.00
_space_group_name_H-M_alt 'P -3 m 1'
_space_group_IT_number 164
_space_group_name_Hall '-P 3 2"'
loop_
_atom_site_label
_atom_site_fract_x
_atom_site_fract_y
_atom_site_fract_z
Lu1 0.3333 0.6667 0.1720
Sc1 0.0000 0.0000 0.5000
S1 0.0000 0.0000 0.0000
S2 0.3333 0.6667 0.6600
```



[12]
Material: NaHgCl3
Method: DFT, PBE
State: relaxed

Properties
Final energy ... -2.47 eV/atom

Structure (CIF):
```
data_NaHgCl3
_cell_length_a 7.699
_cell_length_b 4.115
_cell_length_c 17.113
_cell_angle_alpha 90.00
_cell_angle_beta 90.00
_cell_angle_gamma 90.00
_space_group_name_H-M_alt 'P n m a'
_space_group_IT_number 62
_space_group_name_Hall '-P 2ac 2n'
loop_
_atom_site_label
_atom_site_fract_x
_atom_site_fract_y
_atom_site_fract_z
Na1 0.146 0.250 0.138
Hg1 0.150 0.250 0.406
Cl1 0.018 0.750 0.713
Cl2 0.115 0.250 0.888
Cl3 0.171 0.250 0.550
```



[13]
Material: ThScW
Method: DFT, PBE
State: relaxed

Properties
Energy of formation ... 0.515 eV per atom
M_tot ... 0.51 Bohr magnetons per cell
E above lowest polymorph ... 0.000 eV per atom
Final energy ... -8.39 eV/atom

Structure (CIF):
```
data_ThScW
_cell_length_a 6.759
_cell_length_b 6.759
_cell_length_c 6.759
_cell_angle_alpha 90.00
_cell_angle_beta 90.00
_cell_angle_gamma 90.00
_space_group_name_H-M_alt 'F -4 3 m'
_space_group_IT_number 216
_space_group_name_Hall 'F -4 2 3'
loop_
_atom_site_label
_atom_site_fract_x
_atom_site_fract_y
_atom_site_fract_z
Th1 0.000 0.000 0.000
Sc1 0.000 0.000 0.500
W1 0.250 0.250 0.250
```



[14]
Material: Li2Mg2ZnSiPt2
Method: DFT, PBE
State: relaxed

Properties
M_tot ... 0.00 Bohr magnetons per cell
Final energy ... -3.85 eV/atom

Structure (CIF):
```
data_Li2Mg2ZnSiPt2
_cell_length_a 4.366
_cell_length_b 4.366
_cell_length_c 6.182
_cell_angle_alpha 90.00
_cell_angle_beta 90.00
_cell_angle_gamma 90.00
_space_group_name_H-M_alt 'P -4 m 2'
_space_group_IT_number 115
_space_group_name_Hall 'P -4 -2'
loop_
_atom_site_label
_atom_site_fract_x
_atom_site_fract_y
_atom_site_fract_z
Li1 0.000 0.500 0.250
Mg1 0.000 0.000 0.000
Mg2 0.500 0.500 0.500
Zn1 0.000 0.000 0.500
Si1 0.500 0.500 0.000
Pt1 0.000 0.500 0.770
```



[15]
Material: Y2HoCo2Ni7
Method: DFT, PBE
State: relaxed

Properties
Energy of formation ... -0.339 eV per atom
M_tot ... 11.24 Bohr magnetons per cell
Final energy ... -6.23 eV/atom

Structure (CIF):
```
data_Y2HoCo2Ni7
_cell_length_a 4.9304
_cell_length_b 4.9304
_cell_length_c 24.2809
_cell_angle_alpha 90.00
_cell_angle_beta 90.00
_cell_angle_gamma 120.00
_space_group_name_H-M_alt 'R -3 m'
_space_group_IT_number 166
_space_group_name_Hall '-R 3 2"'
loop_
_atom_site_label
_atom_site_fract_x
_atom_site_fract_y
_atom_site_fract_z
Y1 0.0000 0.0000 0.1386
Ho1 0.0000 0.0000 0.0000
Co1 0.0000 0.0000 0.3329
Ni1 0.0000 0.0000 0.5000
Ni2 0.9997 0.4998 0.0813
```



[16]
Material: NpZn2
Method: DFT, PBE
State: relaxed

Properties
Energy of formation ... 0.082 eV per atom
M_tot ... 17.28 Bohr magnetons per cell
Final energy ... -5.02 eV/atom

Structure (CIF):
```
data_NpZn2
_cell_length_a 2.722
_cell_length_b 15.800
_cell_length_c 5.187
_cell_angle_alpha 90.00
_cell_angle_beta 90.00
_cell_angle_gamma 90.00
_space_group_name_H-M_alt 'C m c m'
_space_group_IT_number 63
_space_group_name_Hall '-C 2c 2'
loop_
_atom_site_label
_atom_site_fract_x
_atom_site_fract_y
_atom_site_fract_z
Np1 0.000 0.115 0.250
Zn1 0.000 0.212 0.750
Zn2 0.000 0.444 0.250
```



[17]
Material: MgCoRe
Method: DFT, PBE
State: relaxed

Properties
M_tot ... 0.05 Bohr magnetons per cell
E above lowest polymorph ... 0.000 eV per atom
Final energy ... -6.57 eV/atom

Structure (CIF):
```
data_MgCoRe
_cell_length_a 5.661
_cell_length_b 5.661
_cell_length_c 5.661
_cell_angle_alpha 90.00
_cell_angle_beta 90.00
_cell_angle_gamma 90.00
_space_group_name_H-M_alt 'F -4 3 m'
_space_group_IT_number 216
_space_group_name_Hall 'F -4 2 3'
loop_
_atom_site_label
_atom_site_fract_x
_atom_site_fract_y
_atom_site_fract_z
Mg1 0.000 0.000 0.000
Co1 0.250 0.250 0.250
Re1 0.000 0.000 0.500
```



[18]
Material: Pr2CoSi4Pd
Method: DFT, PBE
State: relaxed

Properties
M_tot ... 0.01 Bohr magnetons per cell
Final energy ... -6.24 eV/atom

Structure (CIF):
```
data_Pr2CoSi4Pd
_cell_length_a 4.160
_cell_length_b 4.230
_cell_length_c 16.709
_cell_angle_alpha 90.00
_cell_angle_beta 90.00
_cell_angle_gamma 90.00
_space_group_name_H-M_alt 'A m m 2'
_space_group_IT_number 38
_space_group_name_Hall 'A 2 -2'
loop_
_atom_site_label
_atom_site_fract_x
_atom_site_fract_y
_atom_site_fract_z
Pr1 0.000 0.000 0.000
Pr2 0.500 0.000 0.209
Co1 0.500 0.000 0.423
Si1 0.000 0.000 0.363
Si2 0.000 0.000 0.640
Si3 0.500 0.000 0.560
Si4 0.500 0.000 0.863
Pd1 0.000 0.000 0.785
```



[19]
Material: LiZnCoW
Method: DFT, PBE
State: relaxed

Properties
M_tot ... 0.00 Bohr magnetons per cell
E above lowest polymorph ... 0.128 eV per atom
Final energy ... -5.59 eV/atom

Structure (CIF):
```
data_LiZnCoW
_cell_length_a 5.898
_cell_length_b 5.898
_cell_length_c 5.898
_cell_angle_alpha 90.00
_cell_angle_beta 90.00
_cell_angle_gamma 90.00
_space_group_name_H-M_alt 'F -4 3 m'
_space_group_IT_number 216
_space_group_name_Hall 'F -4 2 3'
loop_
_atom_site_label
_atom_site_fract_x
_atom_site_fract_y
_atom_site_fract_z
Li1 0.000 0.000 0.000
Zn1 0.250 0.250 0.750
Co1 0.250 0.250 0.250
W1 0.000 0.000 0.500
```



[20]
Material: PaBe
Method: DFT, PBE
State: relaxed

Properties
M_tot ... 0.18 Bohr magnetons per cell
E above lowest polymorph ... 0.299 eV per atom
Final energy ... -5.83 eV/atom

Structure (CIF):
```
data_PaBe
_cell_length_a 5.416
_cell_length_b 5.416
_cell_length_c 5.416
_cell_angle_alpha 90.00
_cell_angle_beta 90.00
_cell_angle_gamma 90.00
_space_group_name_H-M_alt 'F m -3 m'
_space_group_IT_number 225
_space_group_name_Hall '-F 4 2 3'
loop_
_atom_site_label
_atom_site_fract_x
_atom_site_fract_y
_atom_site_fract_z
Pa1 0.000 0.000 0.000
Be1 0.000 0.000 0.500
```



[21]
Material: BePtW
Method: DFT, PBE
State: relaxed

Properties
M_tot ... 0.00 Bohr magnetons per cell
E above lowest polymorph ... 0.449 eV per atom
Final energy ... -7.07 eV/atom

Structure (CIF):
```
data_BePtW
_cell_length_a 5.821
_cell_length_b 5.821
_cell_length_c 5.821
_cell_angle_alpha 90.00
_cell_angle_beta 90.00
_cell_angle_gamma 90.00
_space_group_name_H-M_alt 'F -4 3 m'
_space_group_IT_number 216
_space_group_name_Hall 'F -4 2 3'
loop_
_atom_site_label
_atom_site_fract_x
_atom_site_fract_y
_atom_site_fract_z
Be1 0.000 0.000 0.000
Pt1 0.000 0.000 0.500
W1 0.250 0.250 0.250
```



[22]
Material: PrAl2NiAu
Method: DFT, PBE
State: relaxed

Properties
M_tot ... 0.00 Bohr magnetons per cell
Final energy ... -4.87 eV/atom

Structure (CIF):
```
data_PrAl2NiAu
_cell_length_a 4.356
_cell_length_b 4.356
_cell_length_c 10.232
_cell_angle_alpha 90.00
_cell_angle_beta 90.00
_cell_angle_gamma 90.00
_space_group_name_H-M_alt 'P 4/n m m'
_space_group_IT_number 129
loop_
_space_group_symop_operation_xyz
'x,y,z'
'-x,-y,-z'
'-y+1/2,x,z'
'y+1/2,-x,-z'
'-x+1/2,-y+1/2,z'
'x+1/2,y+1/2,-z'
'y,-x+1/2,z'
'-y,x+1/2,-z'
'x+1/2,-y,-z'
'-x+1/2,y,z'
'-y,-x,-z'
'y,x,z'
'-x,y+1/2,-z'
'x,-y+1/2,z'
'y+1/2,x+1/2,-z'
'-y+1/2,-x+1/2,z'
loop_
_atom_site_label
_atom_site_fract_x
_atom_site_fract_y
_atom_site_fract_z
Pr1 0.250 0.250 0.233
Al1 0.250 0.250 0.896
Al2 0.250 0.750 0.500
Ni1 0.250 0.750 0.000
Au1 0.250 0.250 0.642
```



[23]
Material: LaEr2
Method: DFT, PBE
State: relaxed

Properties
Energy of formation ... 0.797 eV per atom
M_tot ... 6.40 Bohr magnetons per cell
E above lowest polymorph ... 0.526 eV per atom
Final energy ... -3.89 eV/atom

Structure (CIF):
```
data_LaEr2
_cell_length_a 7.650
_cell_length_b 7.650
_cell_length_c 7.650
_cell_angle_alpha 90.00
_cell_angle_beta 90.00
_cell_angle_gamma 90.00
_space_group_name_H-M_alt 'F m -3 m'
_space_group_IT_number 225
_space_group_name_Hall '-F 4 2 3'
loop_
_atom_site_label
_atom_site_fract_x
_atom_site_fract_y
_atom_site_fract_z
La1 0.000 0.000 0.000
Er1 0.250 0.250 0.250
```



[24]
Material: PuHgAs
Method: DFT, PBE
State: relaxed

Properties
M_tot ... 22.19 Bohr magnetons per cell
E above lowest polymorph ... 0.237 eV per atom
Final energy ... -6.46 eV/atom

Structure (CIF):
```
data_PuHgAs
_cell_length_a 6.900
_cell_length_b 6.900
_cell_length_c 6.900
_cell_angle_alpha 90.00
_cell_angle_beta 90.00
_cell_angle_gamma 90.00
_space_group_name_H-M_alt 'F -4 3 m'
_space_group_IT_number 216
_space_group_name_Hall 'F -4 2 3'
loop_
_atom_site_label
_atom_site_fract_x
_atom_site_fract_y
_atom_site_fract_z
Pu1 0.000 0.000 0.000
Hg1 0.250 0.250 0.750
As1 0.000 0.000 0.500
```



[25]
Material: K3Ir
Method: DFT, PBE
State: relaxed

Properties
M_tot ... 0.01 Bohr magnetons per cell
E above lowest polymorph ... 0.183 eV per atom
Final energy ... -2.33 eV/atom

Structure (CIF):
```
data_K3Ir
_cell_length_a 5.636
_cell_length_b 7.482
_cell_length_c 5.993
_cell_angle_alpha 90.00
_cell_angle_beta 90.00
_cell_angle_gamma 90.00
_space_group_name_H-M_alt 'P m m n'
_space_group_IT_number 59
loop_
_space_group_symop_operation_xyz
'x,y,z'
'-x,-y,-z'
'-x+1/2,-y+1/2,z'
'x+1/2,y+1/2,-z'
'x+1/2,-y,-z'
'-x+1/2,y,z'
'-x,y+1/2,-z'
'x,-y+1/2,z'
loop_
_atom_site_label
_atom_site_fract_x
_atom_site_fract_y
_atom_site_fract_z
K1 0.250 0.003 0.194
K2 0.250 0.750 0.636
Ir1 0.250 0.250 0.707
```